[1]
A plane-wave DFT calculation with PBE-GGA was carried out for a relaxed Li5AcMg7 crystal.

Structure (CIF):
```
data_Li5AcMg7
_cell_length_a 5.497
_cell_length_b 10.487
_cell_length_c 10.512
_cell_angle_alpha 90.00
_cell_angle_beta 90.00
_cell_angle_gamma 90.00
_symmetry_space_group_name_H-M 'I m m 2'
_symmetry_Int_Tables_number 44
loop_
_symmetry_equiv_pos_as_xyz
'x,y,z'
'-x,-y,z'
'-x,y,z'
'x,-y,z'
'x+1/2,y+1/2,z+1/2'
'-x+1/2,-y+1/2,z+1/2'
'-x+1/2,y+1/2,z+1/2'
'x+1/2,-y+1/2,z+1/2'
loop_
_atom_site_label
_atom_site_fract_x
_atom_site_fract_y
_atom_site_fract_z
_atom_site_occupancy
Li1 0.000 0.000 0.000 1
Li2 0.249 0.248 0.974 1
Ac1 0.000 0.500 0.723 1
Mg1 0.000 0.000 0.443 1
Mg2 0.000 0.145 0.724 1
Mg3 0.000 0.218 0.224 1
Mg4 0.000 0.500 0.079 1
Mg5 0.000 0.500 0.369 1
```

Summary:
E   -25.51 eV per formula unit
ΔH_f (0 K)   -0.05 eV per atom
Total magnetic moment   0.000 μB/f.u.

[2]
A plane-wave DFT calculation with PBE-GGA was carried out for a relaxed NdAl7Cu5 crystal.

Structure (CIF):
```
data_NdAl7Cu5
_cell_length_a 5.128
_cell_length_b 8.862
_cell_length_c 8.736
_cell_angle_alpha 90.00
_cell_angle_beta 90.00
_cell_angle_gamma 90.00
_symmetry_space_group_name_H-M 'I m m 2'
_symmetry_Int_Tables_number 44
loop_
_symmetry_equiv_pos_as_xyz
'x,y,z'
'-x,-y,z'
'-x,y,z'
'x,-y,z'
'x+1/2,y+1/2,z+1/2'
'-x+1/2,-y+1/2,z+1/2'
'-x+1/2,y+1/2,z+1/2'
'x+1/2,-y+1/2,z+1/2'
loop_
_atom_site_label
_atom_site_fract_x
_atom_site_fract_y
_atom_site_fract_z
_atom_site_occupancy
Nd1 0.000 0.000 0.000 1
Al1 0.000 0.000 0.351 1
Al2 0.000 0.000 0.654 1
Al3 0.000 0.288 0.493 1
Al4 0.000 0.349 0.008 1
Al5 0.000 0.500 0.727 1
Cu1 0.000 0.500 0.271 1
Cu2 0.249 0.253 0.748 1
```

Summary:
E   -55.93 eV per formula unit
ΔH_f (0 K)   -0.34 eV per atom
Total magnetic moment   0.000 μB/f.u.

[3]
A plane-wave DFT calculation with PBE-GGA was carried out for a relaxed La2Nd6Dy3 crystal.

Structure (CIF):
```
data_La2Nd6Dy3
_cell_length_a 5.746
_cell_length_b 5.746
_cell_length_c 24.733
_cell_angle_alpha 90.00
_cell_angle_beta 90.00
_cell_angle_gamma 90.00
_symmetry_space_group_name_H-M 'I 4/m m m'
_symmetry_Int_Tables_number 139
_symmetry_space_group_name_Hall '-I 4 2'
loop_
_atom_site_label
_atom_site_fract_x
_atom_site_fract_y
_atom_site_fract_z
_atom_site_occupancy
La1 0.000 0.000 0.059 1
Nd1 0.000 0.000 0.201 1
Nd2 0.000 0.500 0.097 1
Dy1 0.000 0.000 0.339 1
Dy2 0.000 0.000 0.500 1
```

Summary:
E   -47.42 eV per formula unit
Excess energy over the best structure of this formula in the dataset   26.9 kJ/mol of atoms
ΔH_f (0 K)   0.44 eV per atom
Total magnetic moment   0.001 μB/f.u.

[4]
A plane-wave DFT calculation with PBE-GGA was carried out for a relaxed MnHgH crystal.

Structure (CIF):
```
data_MnHgH
_cell_length_a 10.413
_cell_length_b 3.066
_cell_length_c 6.204
_cell_angle_alpha 90.00
_cell_angle_beta 122.98
_cell_angle_gamma 90.00
_symmetry_space_group_name_H-M 'C 1 2/m 1'
_symmetry_Int_Tables_number 12
loop_
_symmetry_equiv_pos_as_xyz
'x,y,z'
'-x,-y,-z'
'-x,y,-z'
'x,-y,z'
'x+1/2,y+1/2,z'
'-x+1/2,-y+1/2,-z'
'-x+1/2,y+1/2,-z'
'x+1/2,-y+1/2,z'
loop_
_atom_site_label
_atom_site_fract_x
_atom_site_fract_y
_atom_site_fract_z
_atom_site_occupancy
Mn1 0.145 0.000 0.029 1
Hg1 0.093 0.500 0.380 1
H1 0.247 0.500 0.124 1
```

Summary:
E   -12.12 eV per formula unit
Excess energy over the best structure of this formula in the dataset   5.8 kJ/mol of atoms
Total magnetic moment   0.000 μB/f.u.

[5]
A plane-wave DFT calculation with PBE-GGA was carried out for a relaxed Zr6Bi3H crystal.

Structure (CIF):
```
data_Zr6Bi3H
_cell_length_a 11.598
_cell_length_b 14.797
_cell_length_c 4.993
_cell_angle_alpha 90.00
_cell_angle_beta 90.00
_cell_angle_gamma 90.00
_symmetry_space_group_name_H-M 'C m c 21'
_symmetry_Int_Tables_number 36
loop_
_symmetry_equiv_pos_as_xyz
'x,y,z'
'-x,-y,z+1/2'
'-x,y,z'
'x,-y,z+1/2'
'x+1/2,y+1/2,z'
'-x+1/2,-y+1/2,z+1/2'
'-x+1/2,y+1/2,z'
'x+1/2,-y+1/2,z+1/2'
loop_
_atom_site_label
_atom_site_fract_x
_atom_site_fract_y
_atom_site_fract_z
_atom_site_occupancy
Zr1 0.000 0.068 0.000 1
Zr2 0.000 0.262 0.507 1
Zr3 0.167 0.241 0.007 1
Zr4 0.167 0.428 0.503 1
Bi1 0.000 0.405 0.005 1
Bi2 0.167 0.097 0.499 1
H1 0.000 0.202 0.894 1
```

Summary:
E   -69.52 eV per formula unit
Total magnetic moment   0.000 μB/f.u.

[6]
A plane-wave DFT calculation with PBE-GGA was carried out for a relaxed CrIn crystal.

Structure (CIF):
```
data_CrIn
_cell_length_a 3.894
_cell_length_b 4.799
_cell_length_c 13.376
_cell_angle_alpha 90.00
_cell_angle_beta 90.00
_cell_angle_gamma 90.00
_symmetry_space_group_name_H-M 'I m m m'
_symmetry_Int_Tables_number 71
_symmetry_space_group_name_Hall '-I 2 2'
loop_
_atom_site_label
_atom_site_fract_x
_atom_site_fract_y
_atom_site_fract_z
_atom_site_occupancy
Cr1 0.000 0.000 0.000 1
Cr2 0.000 0.500 0.390 1
In1 0.000 0.000 0.269 1
In2 0.000 0.000 0.500 1
```

Summary:
E   -11.40 eV per formula unit
ΔH_f (0 K)   0.48 eV per atom
Total magnetic moment   1.084 μB/f.u.

[7]
A plane-wave DFT calculation with PBE-GGA was carried out for a relaxed GdBiRh crystal.

Structure (CIF):
```
data_GdBiRh
_cell_length_a 6.716
_cell_length_b 6.716
_cell_length_c 6.716
_cell_angle_alpha 90.00
_cell_angle_beta 90.00
_cell_angle_gamma 90.00
_symmetry_space_group_name_H-M 'F -4 3 m'
_symmetry_Int_Tables_number 216
_symmetry_space_group_name_Hall 'F -4 2 3'
loop_
_atom_site_label
_atom_site_fract_x
_atom_site_fract_y
_atom_site_fract_z
_atom_site_occupancy
Gd1 0.000 0.000 0.000 1
Bi1 0.000 0.000 0.500 1
Rh1 0.250 0.250 0.750 1
```

Summary:
E   -27.53 eV per formula unit
ΔH_f (0 K)   -0.74 eV per atom
Total magnetic moment   7.432 μB/f.u.

[8]
A plane-wave DFT calculation with PBE-GGA was carried out for a relaxed ScIrRh2C crystal.

Structure (CIF):
```
data_ScIrRh2C
_cell_length_a 4.149
_cell_length_b 4.149
_cell_length_c 4.058
_cell_angle_alpha 90.00
_cell_angle_beta 90.00
_cell_angle_gamma 90.00
_symmetry_space_group_name_H-M 'P 4/m m m'
_symmetry_Int_Tables_number 123
_symmetry_space_group_name_Hall '-P 4 2'
loop_
_atom_site_label
_atom_site_fract_x
_atom_site_fract_y
_atom_site_fract_z
_atom_site_occupancy
Sc1 0.000 0.000 0.000 1
Ir1 0.500 0.500 0.000 1
Rh1 0.000 0.500 0.500 1
C1 0.500 0.500 0.500 1
```

Summary:
E   -41.29 eV per formula unit
ΔH_f (0 K)   -0.43 eV per atom
Total magnetic moment   0.000 μB/f.u.

[9]
A plane-wave DFT calculation with PBE-GGA was carried out for a relaxed TbGdCoIr crystal.

Structure (CIF):
```
data_TbGdCoIr
_cell_length_a 6.832
_cell_length_b 6.832
_cell_length_c 6.832
_cell_angle_alpha 90.00
_cell_angle_beta 90.00
_cell_angle_gamma 90.00
_symmetry_space_group_name_H-M 'F -4 3 m'
_symmetry_Int_Tables_number 216
_symmetry_space_group_name_Hall 'F -4 2 3'
loop_
_atom_site_label
_atom_site_fract_x
_atom_site_fract_y
_atom_site_fract_z
_atom_site_occupancy
Tb1 0.000 0.000 0.000 1
Gd1 0.000 0.000 0.500 1
Co1 0.250 0.250 0.750 1
Ir1 0.250 0.250 0.250 1
```

Summary:
E   -36.50 eV per formula unit
ΔH_f (0 K)   -0.46 eV per atom
Total magnetic moment   7.540 μB/f.u.

[10]
A plane-wave DFT calculation with PBE-GGA was carried out for a relaxed SmMg2Zr crystal.

Structure (CIF):
```
data_SmMg2Zr
_cell_length_a 3.647
_cell_length_b 3.647
_cell_length_c 7.498
_cell_angle_alpha 90.00
_cell_angle_beta 90.00
_cell_angle_gamma 90.00
_symmetry_space_group_name_H-M 'P 4/m m m'
_symmetry_Int_Tables_number 123
_symmetry_space_group_name_Hall '-P 4 2'
loop_
_atom_site_label
_atom_site_fract_x
_atom_site_fract_y
_atom_site_fract_z
_atom_site_occupancy
Sm1 0.000 0.000 0.000 1
Mg1 0.500 0.500 0.276 1
Zr1 0.000 0.000 0.500 1
```

Summary:
E   -16.36 eV per formula unit
Excess energy over the best structure of this formula in the dataset   0.0 kJ/mol of atoms
ΔH_f (0 K)   0.02 eV per atom
Total magnetic moment   0.002 μB/f.u.

[11]
A plane-wave DFT calculation with PBE-GGA was carried out for a relaxed LiHg2Au2 crystal.

Structure (CIF):
```
data_LiHg2Au2
_cell_length_a 7.736
_cell_length_b 7.736
_cell_length_c 3.510
_cell_angle_alpha 90.00
_cell_angle_beta 90.00
_cell_angle_gamma 90.00
_symmetry_space_group_name_H-M 'P 4/m b m'
_symmetry_Int_Tables_number 127
_symmetry_space_group_name_Hall '-P 4 2ab'
loop_
_atom_site_label
_atom_site_fract_x
_atom_site_fract_y
_atom_site_fract_z
_atom_site_occupancy
Li1 0.000 0.000 0.000 1
Hg1 0.143 0.357 0.000 1
Au1 0.160 0.660 0.500 1
```

Summary:
E   -9.48 eV per formula unit
Excess energy over the best structure of this formula in the dataset   5.2 kJ/mol of atoms
ΔH_f (0 K)   -0.08 eV per atom
Total magnetic moment   0.000 μB/f.u.

[12]
A plane-wave DFT calculation with PBE-GGA was carried out for a relaxed BaPaAu2 crystal.

Structure (CIF):
```
data_BaPaAu2
_cell_length_a 3.778
_cell_length_b 3.778
_cell_length_c 7.876
_cell_angle_alpha 90.00
_cell_angle_beta 90.00
_cell_angle_gamma 90.00
_symmetry_space_group_name_H-M 'P 4/m m m'
_symmetry_Int_Tables_number 123
_symmetry_space_group_name_Hall '-P 4 2'
loop_
_atom_site_label
_atom_site_fract_x
_atom_site_fract_y
_atom_site_fract_z
_atom_site_occupancy
Ba1 0.000 0.000 0.000 1
Pa1 0.000 0.000 0.500 1
Au1 0.500 0.500 0.305 1
```

Summary:
E   -19.44 eV per formula unit
Excess energy over the best structure of this formula in the dataset   0.0 kJ/mol of atoms
ΔH_f (0 K)   -0.37 eV per atom
Total magnetic moment   0.714 μB/f.u.

[13]
A plane-wave DFT calculation with PBE-GGA was carried out for a relaxed InReSb crystal.

Structure (CIF):
```
data_InReSb
_cell_length_a 3.2972
_cell_length_b 3.2972
_cell_length_c 6.7275
_cell_angle_alpha 90.00
_cell_angle_beta 90.00
_cell_angle_gamma 120.00
_symmetry_space_group_name_H-M 'P 3 m 1'
_symmetry_Int_Tables_number 156
loop_
_symmetry_equiv_pos_as_xyz
'x,y,z'
'-y,x-y,z'
'-x+y,-x,z'
'-y,-x,z'
'-x+y,y,z'
'x,x-y,z'
loop_
_atom_site_label
_atom_site_fract_x
_atom_site_fract_y
_atom_site_fract_z
_atom_site_occupancy
In1 0.0000 0.0000 0.0000 1
Re1 0.6667 0.3333 0.3146 1
Sb1 0.3333 0.6667 0.5950 1
```

Summary:
E   -18.02 eV per formula unit
Excess energy over the best structure of this formula in the dataset   0.0 kJ/mol of atoms
Formation energy (no corrections)   430 meV per atom
Total magnetic moment   0.000 μB/f.u.

[14]
A plane-wave DFT calculation with PBE-GGA was carried out for a relaxed Pu3ScS4 crystal.

Structure (CIF):
```
data_Pu3ScS4
_cell_length_a 7.804
_cell_length_b 11.009
_cell_length_c 3.895
_cell_angle_alpha 90.00
_cell_angle_beta 90.00
_cell_angle_gamma 90.00
_symmetry_space_group_name_H-M 'C m m m'
_symmetry_Int_Tables_number 65
_symmetry_space_group_name_Hall '-C 2 2'
loop_
_atom_site_label
_atom_site_fract_x
_atom_site_fract_y
_atom_site_fract_z
_atom_site_occupancy
Pu1 0.000 0.000 0.000 1
Pu2 0.250 0.250 0.500 1
Sc1 0.000 0.500 0.000 1
S1 0.000 0.256 0.000 1
S2 0.238 0.500 0.500 1
```

Summary:
E   -80.08 eV per formula unit
Formation energy (no corrections)   -1780 meV per atom
Total magnetic moment   17.028 μB/f.u.

[15]
A plane-wave DFT calculation with PBE-GGA was carried out for a relaxed Tb2Er3Pd4 crystal.

Structure (CIF):
```
data_Tb2Er3Pd4
_cell_length_a 7.585
_cell_length_b 7.579
_cell_length_c 7.722
_cell_angle_alpha 90.00
_cell_angle_beta 108.77
_cell_angle_gamma 90.00
_symmetry_space_group_name_H-M 'P 1 21/c 1'
_symmetry_Int_Tables_number 14
loop_
_symmetry_equiv_pos_as_xyz
'x,y,z'
'-x,-y,-z'
'-x,y+1/2,-z+1/2'
'x,-y+1/2,z+1/2'
loop_
_atom_site_label
_atom_site_fract_x
_atom_site_fract_y
_atom_site_fract_z
_atom_site_occupancy
Tb1 0.195 0.178 0.083 1
Er1 0.242 0.664 0.250 1
Er2 0.500 0.000 0.500 1
Pd1 0.089 0.537 0.862 1
Pd2 0.497 0.133 0.870 1
```

Summary:
E   -51.16 eV per formula unit
Excess energy over the best structure of this formula in the dataset   0.0 kJ/mol of atoms
ΔH_f (0 K)   -0.83 eV per atom
Total magnetic moment   0.000 μB/f.u.

[16]
A plane-wave DFT calculation with PBE-GGA was carried out for a relaxed Li5Br4O crystal.

Structure (CIF):
```
data_Li5Br4O
_cell_length_a 8.353
_cell_length_b 8.353
_cell_length_c 5.361
_cell_angle_alpha 90.00
_cell_angle_beta 90.00
_cell_angle_gamma 90.00
_symmetry_space_group_name_H-M 'I 4'
_symmetry_Int_Tables_number 79
loop_
_symmetry_equiv_pos_as_xyz
'x,y,z'
'-y,x,z'
'-x,-y,z'
'y,-x,z'
'x+1/2,y+1/2,z+1/2'
'-y+1/2,x+1/2,z+1/2'
'-x+1/2,-y+1/2,z+1/2'
'y+1/2,-x+1/2,z+1/2'
loop_
_atom_site_label
_atom_site_fract_x
_atom_site_fract_y
_atom_site_fract_z
_atom_site_occupancy
Li1 0.000 0.000 0.000 1
Li2 0.072 0.225 0.406 1
Br1 0.105 0.296 0.901 1
O1 0.000 0.000 0.369 1
```

Summary:
E   -34.90 eV per formula unit
Formation energy (no corrections)   -1368 meV per atom
Total magnetic moment   0.918 μB/f.u.

[17]
A plane-wave DFT calculation with PBE-GGA was carried out for a relaxed CrCo3P crystal.

Structure (CIF):
```
data_CrCo3P
_cell_length_a 4.067
_cell_length_b 4.067
_cell_length_c 4.067
_cell_angle_alpha 90.00
_cell_angle_beta 90.00
_cell_angle_gamma 90.00
_symmetry_space_group_name_H-M 'P m -3 m'
_symmetry_Int_Tables_number 221
_symmetry_space_group_name_Hall '-P 4 2 3'
loop_
_atom_site_label
_atom_site_fract_x
_atom_site_fract_y
_atom_site_fract_z
_atom_site_occupancy
Cr1 0.000 0.000 0.000 1
Co1 0.000 0.500 0.500 1
P1 0.500 0.500 0.500 1
```

Summary:
E   -33.04 eV per formula unit
Excess energy over the best structure of this formula in the dataset   0.0 kJ/mol of atoms
ΔH_f (0 K)   0.66 eV per atom
Total magnetic moment   2.215 μB/f.u.

[18]
A plane-wave DFT calculation with PBE-GGA was carried out for a relaxed SiW4Br crystal.

Structure (CIF):
```
data_SiW4Br
_cell_length_a 7.552
_cell_length_b 7.552
_cell_length_c 7.552
_cell_angle_alpha 90.00
_cell_angle_beta 90.00
_cell_angle_gamma 90.00
_symmetry_space_group_name_H-M 'F -4 3 m'
_symmetry_Int_Tables_number 216
_symmetry_space_group_name_Hall 'F -4 2 3'
loop_
_atom_site_label
_atom_site_fract_x
_atom_site_fract_y
_atom_site_fract_z
_atom_site_occupancy
Si1 0.000 0.000 0.000 1
W1 0.124 0.124 0.376 1
Br1 0.250 0.250 0.750 1
```

Summary:
E   -51.59 eV per formula unit
Formation energy (no corrections)   1219 meV per atom
Total magnetic moment   0.000 μB/f.u.

[19]
A plane-wave DFT calculation with PBE-GGA was carried out for a relaxed LiAlSn2Pd4 crystal.

Structure (CIF):
```
data_LiAlSn2Pd4
_cell_length_a 4.5293
_cell_length_b 4.5293
_cell_length_c 22.1928
_cell_angle_alpha 90.00
_cell_angle_beta 90.00
_cell_angle_gamma 120.00
_symmetry_space_group_name_H-M 'R -3 m'
_symmetry_Int_Tables_number 166
_symmetry_space_group_name_Hall '-R 3 2"'
loop_
_atom_site_label
_atom_site_fract_x
_atom_site_fract_y
_atom_site_fract_z
_atom_site_occupancy
Li1 0.0000 0.0000 0.0000 1
Al1 0.0000 0.0000 0.5000 1
Sn1 0.0000 0.0000 0.2566 1
Pd1 0.0000 0.0000 0.1313 1
Pd2 0.0000 0.0000 0.3827 1
```

Summary:
E   -39.59 eV per formula unit
ΔH_f (0 K)   -0.64 eV per atom
Total magnetic moment   0.000 μB/f.u.

[20]
A plane-wave DFT calculation with PBE-GGA was carried out for a relaxed LiTb3Rh4 crystal.

Structure (CIF):
```
data_LiTb3Rh4
_cell_length_a 4.739
_cell_length_b 4.739
_cell_length_c 6.673
_cell_angle_alpha 90.00
_cell_angle_beta 90.00
_cell_angle_gamma 90.00
_symmetry_space_group_name_H-M 'P 4/m m m'
_symmetry_Int_Tables_number 123
_symmetry_space_group_name_Hall '-P 4 2'
loop_
_atom_site_label
_atom_site_fract_x
_atom_site_fract_y
_atom_site_fract_z
_atom_site_occupancy
Li1 0.000 0.000 0.000 1
Tb1 0.000 0.000 0.500 1
Tb2 0.500 0.500 0.000 1
Tb3 0.500 0.500 0.500 1
Rh1 0.000 0.500 0.246 1
```

Summary:
E   -50.57 eV per formula unit
ΔH_f (0 K)   -0.67 eV per atom
Total magnetic moment   0.000 μB/f.u.